1.
A plane-wave DFT calculation with PBE was carried out for a geometry-optimized LiHg3 structure.

Results
For the energy of formation from the pure elements, the calculation gives -0.6 eV/f.u. The density of states at the Fermi level is 0.8 states/eV/f.u.

Lattice parameters (Å, degrees): 3.4114 4.7766 5.5819 90.00 90.00 90.00
Last column: nearest neighbours and their distance in Å.
Space group Pmm2 (No. 25)
Asymmetric unit:
Li1 0.0000 0.0000 0.0000 (multiplicity 1)  8 Hg 2.97-3.20
Hg1 0.0000 0.5000 0.6843 (multiplicity 1)  2 Li 2.97, 6 Hg 3.11-3.14
Hg2 0.5000 0.0000 0.4856 (multiplicity 1)  6 Hg 3.03-3.14, 4 Li 3.20-3.34
Hg3 0.5000 0.5000 0.1507 (multiplicity 1)  4 Hg 3.03-3.11, 4 Li 3.05

***

2.
A plane-wave DFT calculation with PBE was carried out for a geometry-optimized LiHg2 structure.

Results
For the energy of formation from the pure elements, the calculation gives -0.6 eV/f.u. The density of states at the Fermi level is 1.1 states/eV/f.u.

Lattice parameters (Å, degrees): 3.3418 3.3418 6.8854 90.00 90.00 120.00
Last column: nearest neighbours and their distance in Å.
Space group P-3m1 (No. 164)
Asymmetric unit:
Li1 0.0000 0.0000 0.0000 (multiplicity 1)  6 Hg 2.85
Hg1 0.3333 0.6667 0.3055 (multiplicity 2)  3 Li 2.85

***

3.
A plane-wave DFT calculation with PBE was carried out for a geometry-optimized LiHg structure.

Results
For the energy of formation from the pure elements, the calculation gives 0.1 eV/f.u. The density of states at the Fermi level is 1.5 states/eV/f.u.

Lattice parameters (Å, degrees): 6.0679 6.0679 6.0679 90.00 90.00 90.00
Last column: nearest neighbours and their distance in Å.
Space group F-43m (No. 216)
Asymmetric unit:
Li1 0.0000 0.0000 0.0000 (multiplicity 4)  4 Hg 2.63
Hg1 0.2500 0.2500 0.7500 (multiplicity 4)  4 Li 2.63

***

4.
A plane-wave DFT calculation with PBE was carried out for a geometry-optimized LiHg3 structure.

Results
For the energy of formation from the pure elements, the calculation gives -0.6 eV/f.u. The density of states at the Fermi level is 1.4 states/eV/f.u.

Lattice parameters (Å, degrees): 3.4123 9.9784 5.3701 90.00 90.00 90.00
Last column: nearest neighbours and their distance in Å.
Space group Imm2 (No. 44)
Asymmetric unit:
Li1 0.0000 0.0000 0.0000 (multiplicity 2)  6 Hg 2.85-2.91
Hg1 0.0000 0.2816 0.3701 (multiplicity 4)  2 Li 2.85, 1 Hg 3.18
Hg2 0.0000 0.5000 0.9399 (multiplicity 2)  2 Li 2.91, 2 Hg 3.18

***

5.
A plane-wave DFT calculation with PBE was carried out for a geometry-optimized LiHg structure.

Results
For the energy of formation from the pure elements, the calculation gives -0.6 eV/f.u. The density of states at the Fermi level is 0.5 states/eV/f.u.

Lattice parameters (Å, degrees): 10.1737 3.2972 7.3437 90.00 110.17 90.00
Last column: nearest neighbours and their distance in Å.
Space group Cm (No. 8)
Asymmetric unit:
Li1 0.0000 0.0000 0.0000 (multiplicity 2)  7 Hg 2.80-2.94
Li2 0.0635 0.0000 0.5813 (multiplicity 2)  7 Hg 2.82-2.90
Li3 0.2142 0.5000 0.3379 (multiplicity 2)  6 Hg 2.81-3.01
Hg1 0.1960 0.5000 0.9195 (multiplicity 2)  6 Li 2.80-3.01
Hg2 0.3583 0.0000 0.6639 (multiplicity 2)  7 Li 2.85-2.90
Hg3 0.4241 0.0000 0.2610 (multiplicity 2)  7 Li 2.81-2.90

***

6.
A plane-wave DFT calculation with PBE was carried out for a geometry-optimized Li2Hg3 structure.

Results
For the energy of formation from the pure elements, the calculation gives -1.5 eV/f.u. The density of states at the Fermi level is 1.4 states/eV/f.u. The value obtained for the distance to the lowest polymorph of the same formula is 0 meV per atom.

Lattice parameters (Å, degrees): 3.3995 3.3995 17.0921 90.00 90.00 90.00
Last column: nearest neighbours and their distance in Å.
Space group I4/mmm (No. 139)
Asymmetric unit:
Li1 0.0000 0.0000 0.0952 (multiplicity 4)  8 Hg 2.88-2.90
Hg1 0.0000 0.0000 0.3123 (multiplicity 4)  4 Li 2.88, 5 Hg 3.21
Hg2 0.0000 0.0000 0.5000 (multiplicity 2)  8 Li 2.90, 2 Hg 3.21

***

7.
A plane-wave DFT calculation with PBE was carried out for a geometry-optimized LiHg2 structure.

Results
For the energy of formation from the pure elements, the calculation gives -0.7 eV/f.u. The density of states at the Fermi level is 0.6 states/eV/f.u.

Lattice parameters (Å, degrees): 10.2796 3.9312 6.9540 90.00 112.97 90.00
Last column: nearest neighbours and their distance in Å.
Space group C2/m (No. 12)
Asymmetric unit:
Li1 0.1674 0.0000 0.1052 (multiplicity 4)  7 Hg 2.86-3.05, 1 Li 3.17
Hg1 0.0218 0.5000 0.7885 (multiplicity 4)  5 Li 2.89-3.05, 3 Hg 3.12-3.14
Hg2 0.1736 0.0000 0.5964 (multiplicity 4)  2 Li 2.86, 4 Hg 3.12-3.13

***

8.
A plane-wave DFT calculation with PBE was carried out for a geometry-optimized LiHg structure.

Results
For the energy of formation from the pure elements, the calculation gives -0.6 eV/f.u. The density of states at the Fermi level is 0.7 states/eV/f.u.

Lattice parameters (Å, degrees): 5.3441 5.3441 5.3441 90.00 90.00 90.00
Last column: nearest neighbours and their distance in Å.
Space group P2_13 (No. 198)
Asymmetric unit:
Li1 0.0945 0.0945 0.0945 (multiplicity 4)  7 Hg 2.86-2.88
Hg1 0.0944 0.5944 0.9056 (multiplicity 4)  7 Li 2.86-2.88

***

9.
A plane-wave DFT calculation with PBE was carried out for a geometry-optimized Li5Hg2 structure.

Results
For the energy of formation from the pure elements, the calculation gives -2.0 eV/f.u. The density of states at the Fermi level is 2.0 states/eV/f.u.

Lattice parameters (Å, degrees): 13.2299 4.9769 7.6864 90.00 94.50 90.00
Last column: nearest neighbours and their distance in Å.
Space group C2/c (No. 15)
Asymmetric unit:
Li1 0.0000 0.1986 0.2500 (multiplicity 4)  6 Li 2.90-2.97, 6 Hg 2.93-3.01
Li2 0.1298 0.1888 0.9594 (multiplicity 8)  4 Hg 2.79-2.90, 5 Li 2.88-3.01
Li3 0.2131 0.3272 0.3247 (multiplicity 8)  3 Hg 2.78-2.91, 7 Li 2.88-3.01
Hg1 0.0843 0.3102 0.6079 (multiplicity 8)  10 Li 2.78-3.01

***

10.
A plane-wave DFT calculation with PBE was carried out for a geometry-optimized Li5Hg4 structure.

Results
For the energy of formation from the pure elements, the calculation gives -2.6 eV/f.u. The density of states at the Fermi level is 2.9 states/eV/f.u. The value obtained for the distance to the lowest polymorph of the same formula is 33 meV per atom.

Lattice parameters (Å, degrees): 9.9334 9.1594 4.1756 90.00 114.42 90.00
Last column: nearest neighbours and their distance in Å.
Space group C2/m (No. 12)
Asymmetric unit:
Li1 0.0000 0.0000 0.0000 (multiplicity 2)  4 Li 2.89-2.91, 8 Hg 2.98-3.01
Li2 0.0000 0.3181 0.0000 (multiplicity 4)  5 Li 2.91-3.14, 6 Hg 2.92-3.01
Li3 0.1807 0.5000 0.6815 (multiplicity 4)  5 Li 2.89-3.14, 6 Hg 2.92-3.06
Hg1 0.1679 0.1658 0.6703 (multiplicity 8)  8 Li 2.92-3.06, 4 Hg 2.98-3.04

***

11.
A plane-wave DFT calculation with PBE was carried out for a geometry-optimized Li8Hg structure.

Results
For the energy of formation from the pure elements, the calculation gives -1.1 eV/f.u. The density of states at the Fermi level is 2.7 states/eV/f.u.

Lattice parameters (Å, degrees): 9.1176 9.1176 4.0604 90.00 90.00 90.00
Last column: nearest neighbours and their distance in Å.
Space group I4/mmm (No. 139)
Asymmetric unit:
Li1 0.0000 0.3273 0.0000 (multiplicity 8)  11 Li 2.93-3.15, 1 Hg 2.98
Li2 0.1594 0.1594 0.5000 (multiplicity 8)  2 Hg 2.89, 10 Li 2.91-3.11
Hg1 0.0000 0.0000 0.0000 (multiplicity 2)  12 Li 2.89-2.98

***

12.
A plane-wave DFT calculation with PBE was carried out for a geometry-optimized LiHg structure.

Results
For the energy of formation from the pure elements, the calculation gives -0.5 eV/f.u. The density of states at the Fermi level is 0.6 states/eV/f.u.

Lattice parameters (Å, degrees): 3.3227 3.3227 4.2681 90.00 90.00 120.00
Last column: nearest neighbours and their distance in Å.
Space group P-6m2 (No. 187)
Asymmetric unit:
Li1 0.0000 0.0000 0.0000 (multiplicity 1)  6 Hg 2.87
Hg1 0.3333 0.6667 0.5000 (multiplicity 1)  6 Li 2.87